--- P ---
MgS2Cl2: optimized geometry, GGA-PBE.

Cell: 6.6238 6.6238 7.8949 Å, 90.00 90.00 90.00°
Space group P4/mbm (No. 127)
One atom of each set of equivalent atoms:
Mg  0.0000  0.0000  0.0000
S  0.1014  0.3986  0.5000
Cl  0.1894  0.6894  0.0000

Summary:
Total magnetic moment: 2.00 μB per formula unit
Calculated volume: 173 Å³/f.u.

---

--- Q ---
MgS2Cl2: optimized geometry, GGA-PBE.

Cell: 3.3036 3.3036 22.5915 Å, 90.00 90.00 90.00°
Space group I4/mmm (No. 139)
One atom of each set of equivalent atoms:
Mg  0.0000  0.0000  0.0000
S  0.0000  0.5000  0.2500
Cl  0.0000  0.0000  0.4335

Summary:
Total magnetic moment: 0.00 μB per formula unit
Calculated volume: 123 Å³/f.u.

---

P takes first place; second place is 0.043 eV/atom up.

---

--- P ---
MgS2Cl: optimized geometry, GGA-PBE.

Cell: 3.9392 3.9392 21.1534 Å, 90.00 90.00 120.00°
Space group R-3m (No. 166, hexagonal axes)
One atom of each set of equivalent atoms:
Mg  0.0000  0.0000  0.0000
S  0.0000  0.0000  0.3912
Cl  0.0000  0.0000  0.5000

Summary:
Total magnetic moment: 0.86 μB per formula unit
Calculated volume: 95 Å³/f.u.

---

--- Q ---
MgS2Cl: optimized geometry, GGA-PBE.

Cell: 3.9663 3.9663 20.9199 Å, 90.00 90.00 90.00°
Space group I-42d (No. 122)
One atom of each set of equivalent atoms:
Mg  0.0000  0.0000  0.0000
S  0.1221  0.2500  0.1250
Cl  0.0000  0.0000  0.5000

Summary:
Total magnetic moment: 0.00 μB per formula unit
Calculated volume: 82 Å³/f.u.

---

Q takes first place; second place is 0.115 eV/atom up.

---

--- P ---
MgScSCl2: optimized geometry, GGA-PBE.

Cell: 4.6699 4.6699 5.1522 Å, 90.00 90.00 90.00°
Space group P4/mmm (No. 123)
One atom of each set of equivalent atoms:
Mg  0.0000  0.0000  0.0000
Sc  0.5000  0.5000  0.5000
S  0.0000  0.0000  0.5000
Cl  0.0000  0.5000  0.0000

Summary:
Total magnetic moment: 1.00 μB per formula unit
Calculated volume: 112 Å³/f.u.

---

--- Q ---
MgScSCl2: optimized geometry, GGA-PBE.

Cell: 4.9946 4.9946 4.9999 Å, 90.00 90.00 90.00°
Space group P4/mmm (No. 123)
One atom of each set of equivalent atoms:
Mg  0.0000  0.0000  0.0000
Sc  0.5000  0.5000  0.5000
S  0.5000  0.5000  0.0000
Cl  0.0000  0.5000  0.5000

Summary:
Total magnetic moment: 0.49 μB per formula unit
Calculated volume: 125 Å³/f.u.

---

Q takes first place; second place is 0.190 eV/atom up.